No. 1
## MgScCN2 (PBE)

Data for crystalline MgScCN2 at its relaxed geometry.

Unit cell a=3.877 b=3.993 c=3.877 alpha=90.00 beta=90.00 gamma=90.00
Element x y z (fractional)
N (0.000, 0.000, 0.500)
N (0.500, 0.000, 0.000)
Mg (0.000, 0.000, 0.000)
C (0.000, 0.500, 0.000)
Sc (0.500, 0.500, 0.500)

Computed properties:
As for the crystal system: tetragonal. As for the formation energy from raw total energies: 27.49 kcal/mol of atoms.


No. 2
## SiAs2Os (PBE)

Data for crystalline SiAs2Os at its relaxed geometry.

Unit cell a=2.868 b=2.868 c=9.399 alpha=90.00 beta=90.00 gamma=119.22
Element x y z (fractional)
Si (0.500, 0.500, 0.750)
Os (0.500, 0.500, 0.250)
As (0.000, 0.000, 0.476)
As (0.000, 0.000, 0.024)

Computed properties:
As for the crystal system: orthorhombic. As for the formation energy from raw total energies: 13.20 kcal/mol of atoms.


No. 3
## BiIN2Cl (PBE)

Data for crystalline BiIN2Cl at its relaxed geometry.

Unit cell a=4.416 b=4.416 c=7.119 alpha=90.00 beta=90.00 gamma=90.00
Last column: magnetic moment on the atom in μB.
Element x y z (fractional)
Bi (0.000, 0.000, 0.000)  -0.12
N (0.000, 0.500, 0.000)  0.85
N (0.500, 0.000, 0.000)  0.85
I (0.000, 0.000, 0.500)  -0.01
Cl (0.500, 0.500, 0.500)  0.00

Computed properties:
As for the relative energy among the computed polymorphs: 0.000 eV per formula unit. As for the crystal system: tetragonal. As for the formation energy from raw total energies: 34.32 kcal/mol of atoms.


No. 4
## TmVB4 (PBE)

Data for crystalline TmVB4 at its relaxed geometry.

Unit cell a=4.386 b=4.386 c=4.386 alpha=60.00 beta=60.00 gamma=60.00
Element x y z (fractional)
B (0.647, 0.647, 0.058)
B (0.647, 0.058, 0.647)
B (0.647, 0.647, 0.647)
B (0.058, 0.647, 0.647)
Tm (0.250, 0.250, 0.250)
V (0.000, 0.000, 0.000)

Computed properties:
As for the crystal system: cubic. The calculation puts the energy relative to the elements at 1.33 eV/f.u.